(1)
Material: SmDy4Co2
Method: DFT, PBE
State: relaxed

As for the density: 8.49 Mg/m³. The calculation puts the total energy at -5.408 eV per atom. As for the density of states at the Fermi level: 1.273 states/eV per atom. Its formation energy is -0.07 eV per atom.

Structure (extended XYZ):
```
14
Lattice="-5.631 0.579 -3.156 -1.829 -8.372 1.728 -2.264 4.395 4.847" Properties=species:S:1:pos:R:3 pbc="T T T"
Co -5.519 -4.934 -1.041
Co -5.698 -0.759 0.045
Co -4.206 1.536 4.459
Co -4.026 -2.639 3.373
Dy -4.743 -5.291 4.166
Dy -2.330 -0.609 0.718
Dy -4.981 1.892 -0.747
Dy -8.039 0.112 1.055
Dy -5.224 -0.177 2.633
Dy -4.501 -3.221 0.786
Dy -1.686 -3.511 2.363
Dy -7.395 -2.789 2.701
Sm -6.805 2.974 2.706
Sm -2.919 -6.372 0.712
```

---

(2)
Material: Sm3DyCo2
Method: DFT, PBE
State: relaxed

As for the density: 7.90 Mg/m³. The calculation puts the total energy at -5.601 eV per atom. As for the density of states at the Fermi level: 1.261 states/eV per atom. Its formation energy is -0.11 eV per atom.

Structure (extended XYZ):
```
12
Lattice="-1.974 0.370 3.201 -8.133 -0.344 -2.745 -2.391 -9.567 1.860" Properties=species:S:1:pos:R:3 pbc="T T T"
Co -2.189 -4.258 1.372
Co -10.309 -5.283 0.944
Co -5.039 -0.304 1.389
Co -7.460 -9.237 0.927
Dy -8.096 -7.080 2.516
Dy -4.402 -2.461 -0.200
Sm -4.747 -5.187 2.132
Sm -9.669 -7.446 -0.642
Sm -7.751 -4.354 0.184
Sm -2.829 -2.095 2.958
Sm -7.573 -0.631 -0.137
Sm -4.925 -8.909 2.453
```

---

(3)
Material: SmDy3Co8
Method: DFT, PBE
State: relaxed

As for the density: 9.91 Mg/m³. The calculation puts the total energy at -6.456 eV per atom. As for the density of states at the Fermi level: 1.344 states/eV per atom. Its formation energy is -0.17 eV per atom.

Structure (extended XYZ):
```
12
Lattice="-4.632 1.749 1.143 -2.090 -1.093 4.502 1.149 7.079 5.120" Properties=species:S:1:pos:R:3 pbc="T T T"
Co -0.755 3.226 3.301
Co -4.460 6.050 6.560
Co -5.511 5.500 8.825
Co -3.180 4.620 8.250
Co -3.779 1.048 5.676
Co -3.545 7.086 8.679
Co -2.730 1.596 3.417
Co -5.055 2.474 3.990
Dy 1.148 7.077 5.119
Dy -1.517 6.438 6.595
Dy -2.785 3.871 5.383
Sm -5.450 3.231 6.859
```

---

(4)
Material: Sm2Dy2Co
Method: DFT, PBE
State: relaxed

As for the density: 8.07 Mg/m³. The calculation puts the total energy at -5.127 eV per atom. As for the density of states at the Fermi level: 0.985 states/eV per atom. Its formation energy is 0.02 eV per atom.

Structure (extended XYZ):
```
10
Lattice="4.786 0.000 -0.734 -0.113 4.778 -0.733 -0.533 -0.543 12.482" Properties=species:S:1:pos:R:3 pbc="T T T"
Co 2.337 2.389 -0.734
Co 3.295 0.923 5.507
Dy 0.183 2.634 1.192
Dy 3.478 3.557 6.699
Dy 0.662 0.678 4.315
Dy 1.508 3.990 9.823
Sm 3.952 1.596 9.790
Sm 2.994 3.062 3.549
Sm 2.637 0.250 1.224
Sm 1.146 1.173 7.465
```

---

(5)
Material: Sm3DyCo
Method: DFT, PBE
State: relaxed

As for the density: 7.62 Mg/m³. The calculation puts the total energy at -5.253 eV per atom. As for the density of states at the Fermi level: 0.992 states/eV per atom. Its formation energy is -0.08 eV per atom. The value obtained for the excess energy over the best structure of this formula in the dataset is 0.0 kJ per mole of atoms.

Structure (extended XYZ):
```
10
Lattice="1.887 -7.704 2.411 5.206 -4.072 -2.932 4.788 -1.641 5.164" Properties=species:S:1:pos:R:3 pbc="T T T"
Co 8.702 -9.157 3.199
Co 3.180 -4.260 1.443
Dy 10.952 -11.221 3.935
Dy 0.930 -2.196 0.707
Sm 6.116 -9.051 3.033
Sm 3.746 -6.391 3.912
Sm 5.765 -4.367 1.609
Sm 3.916 -7.380 0.619
Sm 8.136 -7.026 0.730
Sm 7.966 -6.037 4.023
```

---

(6)
Material: SmDyCo
Method: DFT, PBE
State: relaxed

As for the density: 7.98 Mg/m³. The calculation puts the total energy at -5.578 eV per atom. As for the density of states at the Fermi level: 1.353 states/eV per atom. Its formation energy is -0.10 eV per atom. The value obtained for the excess energy over the best structure of this formula in the dataset is 0.0 kJ per mole of atoms.

Structure (extended XYZ):
```
6
Lattice="3.807 0.000 0.000 0.000 5.711 -0.332 0.000 -0.236 7.135" Properties=species:S:1:pos:R:3 pbc="T T T"
Dy 0.952 1.764 5.851
Dy 2.855 3.711 0.952
Sm 2.855 4.516 4.542
Sm 0.952 0.959 2.262
Co 0.952 4.733 6.552
Co 2.855 0.743 0.251
```

---

(7)
Material: SmDy4Co
Method: DFT, PBE
State: relaxed

As for the density: 7.39 Mg/m³. The calculation puts the total energy at -4.770 eV per atom. As for the density of states at the Fermi level: 1.080 states/eV per atom. Its formation energy is 0.27 eV per atom.

Structure (extended XYZ):
```
6
Lattice="-1.338 4.436 0.448 -4.087 -1.411 1.725 3.409 0.196 8.236" Properties=species:S:1:pos:R:3 pbc="T T T"
Dy -1.431 -0.670 2.341
Dy 2.128 2.379 6.982
Dy -0.057 2.253 1.703
Dy 0.753 -0.545 7.620
Co 0.000 0.000 0.000
Sm -1.008 1.610 5.205
```

---

(8)
Material: SmDy2Co
Method: DFT, PBE
State: relaxed

As for the density: 8.47 Mg/m³. The calculation puts the total energy at -5.375 eV per atom. As for the density of states at the Fermi level: 1.330 states/eV per atom. Its formation energy is -0.12 eV per atom. The value obtained for the excess energy over the best structure of this formula in the dataset is 2.3 kJ per mole of atoms.

Structure (extended XYZ):
```
8
Lattice="-0.196 0.084 -3.655 5.178 -3.288 1.480 -5.097 -7.987 0.089" Properties=species:S:1:pos:R:3 pbc="T T T"
Co 1.204 -3.580 -0.147
Co -1.319 -7.611 -1.939
Dy -1.081 -9.735 -0.165
Dy 0.965 -1.456 -1.920
Dy -0.841 -4.287 -1.888
Dy 0.726 -6.905 -0.197
Sm -2.965 -6.539 0.007
Sm 2.850 -4.652 -2.093
```

---

(9)
Material: Sm4DyCo2
Method: DFT, PBE
State: relaxed

As for the density: 8.09 Mg/m³. The calculation puts the total energy at -5.369 eV per atom. As for the density of states at the Fermi level: 1.266 states/eV per atom. Its formation energy is 0.02 eV per atom.

Structure (extended XYZ):
```
14
Lattice="6.511 0.000 0.000 0.000 7.175 -2.997 0.000 -0.072 7.782" Properties=species:S:1:pos:R:3 pbc="T T T"
Dy 1.628 5.952 5.033
Dy 4.883 1.152 -0.248
Co 1.628 4.490 2.761
Co 4.883 2.614 2.024
Co 4.883 5.329 -2.158
Co 1.628 1.775 6.943
Sm 6.489 2.899 4.679
Sm 1.628 6.994 1.941
Sm 1.628 1.751 1.803
Sm 4.883 5.353 2.981
Sm 0.022 4.205 0.106
Sm 3.278 2.899 4.679
Sm 4.883 0.109 2.844
Sm 3.234 4.205 0.106
```

---

(10)
Material: Dy2Co3Sn5
Method: DFT, PBE
State: relaxed

As for the density: 9.16 Mg/m³. The calculation puts the total energy at -5.437 eV per atom. As for the density of states at the Fermi level: 0.739 states/eV per atom. Its formation energy is -0.38 eV per atom.

Structure (extended XYZ):
```
20
Lattice="2.165 -12.987 0.000 2.165 12.987 0.000 0.000 0.000 7.065" Properties=species:S:1:pos:R:3 pbc="T T T"
Dy 2.165 0.665 5.308
Dy 2.165 -0.665 1.775
Dy 2.165 -8.547 1.667
Dy 2.165 8.547 5.199
Co 2.165 7.211 1.611
Co 2.165 -11.699 3.335
Co 2.165 2.758 0.055
Co 2.165 -2.758 3.587
Co 2.165 -7.211 5.143
Co 2.165 11.699 6.868
Sn 2.165 -2.436 6.196
Sn 2.165 -11.750 0.606
Sn 2.165 -5.507 0.121
Sn 2.165 9.837 1.749
Sn 2.165 2.436 2.664
Sn 2.165 5.310 6.658
Sn 2.165 11.750 4.139
Sn 2.165 5.507 3.654
Sn 2.165 -9.837 5.282
Sn 2.165 -5.310 3.125
```

---

(11)
Material: DyCoSn3
Method: DFT, PBE
State: relaxed

As for the density: 8.51 Mg/m³. The calculation puts the total energy at -5.105 eV per atom. As for the density of states at the Fermi level: 0.669 states/eV per atom. Its formation energy is -0.36 eV per atom.

Structure (extended XYZ):
```
20
Lattice="-0.279 4.319 4.135 -6.085 -0.706 0.327 1.447 -8.377 8.847" Properties=species:S:1:pos:R:3 pbc="T T T"
Sn -3.989 -2.507 6.682
Sn -0.789 -4.416 4.559
Sn -1.834 -5.772 8.071
Sn 0.793 -6.958 9.487
Sn -3.083 1.008 5.238
Sn 0.764 -3.295 9.992
Sn -1.358 -5.032 11.663
Sn -3.849 -4.667 4.615
Sn -0.928 -2.257 6.627
Sn -3.559 0.268 1.646
Sn -5.710 2.194 3.822
Sn -5.681 -1.469 3.318
Co -1.498 1.043 3.142
Co -1.359 -1.117 1.075
Co -3.418 -5.807 10.167
Co -3.279 -7.967 8.099
Dy -2.380 -3.006 9.478
Dy -4.997 -5.485 7.558
Dy -2.537 -1.759 3.832
Dy 0.080 0.721 5.751
```

---

(12)
Material: Dy3CoSn2
Method: DFT, PBE
State: relaxed

As for the density: 8.59 Mg/m³. The calculation puts the total energy at -5.415 eV per atom. As for the density of states at the Fermi level: 0.570 states/eV per atom. Its formation energy is -0.60 eV per atom.

Structure (extended XYZ):
```
24
Lattice="-3.175 2.658 1.134 -3.904 -0.018 -10.882 -7.110 -9.588 2.567" Properties=species:S:1:pos:R:3 pbc="T T T"
Sn -5.705 0.170 -4.179
Sn -7.190 -2.846 -1.266
Sn -6.999 -4.101 -5.915
Sn -11.050 -8.897 -6.013
Sn -3.030 -2.315 1.007
Sn -3.140 1.950 -1.168
Sn -8.484 -7.118 -3.002
Sn -11.159 -4.632 -8.188
Dy -6.976 0.799 -9.207
Dy -5.274 -1.643 -6.847
Dy -2.617 0.141 -3.591
Dy -7.214 -7.746 2.026
Dy -5.245 -2.960 -3.680
Dy -5.245 -4.649 0.277
Dy -11.573 -7.089 -3.590
Dy -9.128 -6.439 -6.397
Dy -8.944 -3.988 -3.501
Dy -8.915 -5.304 -0.334
Dy -8.944 -2.299 -7.458
Dy -5.061 -0.509 -0.784
Co -7.490 -1.571 -5.093
Co -6.699 -5.376 -2.088
Co -2.235 -0.578 -0.839
Co -11.954 -6.370 -6.342
```

---

(13)
Material: DyCo6Sn12
Method: DFT, PBE
State: relaxed

As for the density: 8.28 Mg/m³. The calculation puts the total energy at -4.951 eV per atom. As for the density of states at the Fermi level: 0.974 states/eV per atom. Its formation energy is 0.06 eV per atom.

Structure (extended XYZ):
```
19
Lattice="7.717 -0.142 -0.200 -2.051 7.441 -0.200 -2.051 -2.642 6.959" Properties=species:S:1:pos:R:3 pbc="T T T"
Sn 1.623 2.091 5.684
Sn -0.513 1.926 2.712
Sn 1.623 4.677 3.847
Sn 5.499 3.273 0.574
Sn 5.499 -0.537 3.279
Sn 1.993 -0.020 2.712
Sn 1.808 -1.482 5.985
Sn 4.129 2.732 3.847
Sn 1.808 6.139 0.574
Sn 1.993 2.567 0.875
Sn -1.884 5.195 3.279
Sn -1.884 1.384 5.985
Co 0.141 0.182 4.725
Co 4.228 1.227 1.729
Co 3.475 0.257 4.830
Co -0.613 3.430 4.830
Co 3.475 4.476 1.834
Co 0.141 4.401 1.729
Dy 0.000 0.000 0.000
```

---

(14)
Material: Dy2CoSn
Method: DFT, PBE
State: relaxed

As for the density: 8.57 Mg/m³. The calculation puts the total energy at -5.323 eV per atom. As for the density of states at the Fermi level: 1.224 states/eV per atom. Its formation energy is -0.24 eV per atom. The value obtained for the excess energy over the best structure of this formula in the dataset is 14.8 kJ per mole of atoms.

Structure (extended XYZ):
```
16
Lattice="6.082 0.000 0.000 0.000 8.068 -0.185 0.000 -3.853 8.022" Properties=species:S:1:pos:R:3 pbc="T T T"
Co 1.243 -1.907 4.849
Co 4.284 2.088 3.081
Co 1.798 2.127 4.756
Co 4.839 6.123 2.989
Dy 4.562 4.062 1.105
Dy 1.520 4.187 6.640
Dy 1.521 0.153 6.733
Dy 4.501 2.153 5.918
Dy 1.459 6.096 1.827
Dy 4.562 0.028 1.197
Dy 1.582 2.062 1.920
Dy 4.623 -1.881 6.010
Sn 3.041 4.295 3.869
Sn 0.000 0.261 3.961
Sn 6.082 3.955 3.876
Sn 3.041 -0.080 3.969
```

---

(15)
Material: DyCo2Sn4
Method: DFT, PBE
State: relaxed

As for the density: 9.01 Mg/m³. The calculation puts the total energy at -5.271 eV per atom. As for the density of states at the Fermi level: 0.369 states/eV per atom. Its formation energy is -0.30 eV per atom.

Structure (extended XYZ):
```
28
Lattice="4.323 0.000 0.000 0.000 7.103 0.000 0.000 0.000 18.128" Properties=species:S:1:pos:R:3 pbc="T T T"
Sn 3.242 5.539 14.541
Sn 1.081 1.563 3.587
Sn 3.242 3.636 10.306
Sn 3.242 1.425 14.858
Sn 3.242 4.501 17.591
Sn 3.242 7.018 1.242
Sn 1.081 0.084 16.886
Sn 1.081 4.976 12.334
Sn 1.081 3.467 7.822
Sn 1.081 0.949 9.601
Sn 1.081 5.678 3.270
Sn 1.081 2.602 0.537
Sn 3.242 2.127 5.794
Sn 3.242 6.153 8.527
Sn 3.242 5.115 5.477
Sn 1.081 1.988 12.651
Dy 1.081 7.079 6.482
Dy 3.242 0.023 11.645
Dy 3.242 3.528 2.581
Dy 1.081 3.575 15.546
Co 1.081 3.668 5.174
Co 3.242 0.117 3.890
Co 1.081 5.330 9.714
Co 3.242 1.778 17.477
Co 1.081 5.325 0.651
Co 3.242 3.434 12.954
Co 3.242 1.773 8.413
Co 1.081 6.986 14.238
```

---

(16)
Material: Dy4CoSn3
Method: DFT, PBE
State: relaxed

As for the density: 8.55 Mg/m³. The calculation puts the total energy at -5.216 eV per atom. As for the density of states at the Fermi level: 0.954 states/eV per atom. Its formation energy is -0.53 eV per atom.

Structure (extended XYZ):
```
8
Lattice="-1.545 2.619 3.040 -4.009 -0.542 -1.570 -1.464 -8.680 6.734" Properties=species:S:1:pos:R:3 pbc="T T T"
Sn -0.603 -3.576 2.774
Sn -2.128 -6.730 7.757
Sn -2.876 -5.440 3.224
Dy -1.713 -4.266 5.845
Dy -3.296 -7.929 5.155
Dy -0.198 -1.173 0.910
Dy -3.263 -1.843 2.970
Co -2.887 0.389 1.239
```

---

(17)
Material: Dy7Co2Sn
Method: DFT, PBE
State: relaxed

As for the density: 7.83 Mg/m³. The calculation puts the total energy at -5.143 eV per atom. As for the density of states at the Fermi level: 0.793 states/eV per atom. Its formation energy is -0.10 eV per atom.

Structure (extended XYZ):
```
10
Lattice="-4.199 -2.488 0.503 3.903 -6.863 -1.358 -0.196 1.904 7.780" Properties=species:S:1:pos:R:3 pbc="T T T"
Dy 0.387 -4.141 6.689
Dy -0.880 -3.307 0.235
Dy 1.463 -6.440 4.292
Dy 2.714 -4.319 1.294
Dy 0.993 -0.640 5.128
Dy -1.955 -1.007 2.632
Dy -0.246 -3.724 3.462
Co -1.082 -1.936 5.326
Co 0.590 -5.512 1.599
Sn 0.000 0.000 0.000
```

---

(18)
Material: Dy12Co5Sn
Method: DFT, PBE
State: relaxed

As for the density: 9.01 Mg/m³. The calculation puts the total energy at -5.548 eV per atom. As for the density of states at the Fermi level: 0.675 states/eV per atom. Its formation energy is -0.28 eV per atom.

Structure (extended XYZ):
```
18
Lattice="6.476 -0.637 5.114 -3.484 7.373 1.413 -5.400 -6.121 1.367" Properties=species:S:1:pos:R:3 pbc="T T T"
Dy -0.663 5.007 5.331
Dy 3.676 0.987 4.722
Dy -1.745 -4.392 2.564
Dy -0.008 1.506 5.875
Dy 0.828 0.095 2.602
Dy -4.987 -3.423 1.472
Dy -3.236 0.520 5.292
Dy -6.084 -0.372 3.172
Dy -0.630 -1.880 4.998
Dy -2.400 -0.891 2.019
Dy -1.778 2.495 2.897
Dy 2.579 4.038 6.423
Co 0.407 -2.556 2.451
Co 0.669 -4.203 4.030
Co 0.000 0.000 0.000
Co -4.106 1.383 2.124
Co 1.698 -0.768 5.771
Sn 1.496 3.368 3.264
```